[1]
VASP calculation (PBE) on a relaxed TmGaCo4 crystal.

Cell and atoms, written as CIF:
```
data_TmGaCo4
_cell_length_a 4.077
_cell_length_b 14.812
_cell_length_c 5.548
_cell_angle_alpha 90.00
_cell_angle_beta 90.00
_cell_angle_gamma 90.00
_symmetry_space_group_name_H-M 'C m c m'
_symmetry_Int_Tables_number 63
_symmetry_space_group_name_Hall '-C 2c 2'
loop_
_atom_site_label
_atom_site_type_symbol
_atom_site_fract_x
_atom_site_fract_y
_atom_site_fract_z
Tm1 Tm 0.000 0.123 0.250
Ga1 Ga 0.000 0.223 0.750
Co1 Co 0.000 0.060 0.750
Co2 Co 0.000 0.343 0.048
Co3 Co 0.000 0.500 0.000
```

Values from the calculation:
Total DFT energy (no corrections), eV per atom: -6.058

[2]
VASP calculation (PBE) on a relaxed Tm2Ga3Co crystal.

Cell and atoms, written as CIF:
```
data_Tm2Ga3Co
_cell_length_a 10.175
_cell_length_b 4.225
_cell_length_c 6.949
_cell_angle_alpha 90.00
_cell_angle_beta 131.53
_cell_angle_gamma 90.00
_symmetry_space_group_name_H-M 'C 1 m 1'
_symmetry_Int_Tables_number 8
_symmetry_space_group_name_Hall 'C -2y'
loop_
_atom_site_label
_atom_site_type_symbol
_atom_site_fract_x
_atom_site_fract_y
_atom_site_fract_z
Tm1 Tm 0.000 0.000 0.000
Tm2 Tm 0.098 0.000 0.602
Ga1 Ga 0.196 0.500 0.984
Ga2 Ga 0.226 0.500 0.426
Ga3 Ga 0.382 0.000 0.215
Co1 Co 0.387 0.000 0.602
```

Values from the calculation:
Total DFT energy (no corrections), eV per atom: -4.748